No. 1
Material: PrNdSe2
Method: DFT, PBE
State: optimized geometry

ΔE_f (raw) in eV/atom: -1.842
Space group: C2/m
Distance to the lowest polymorph of the same formula in kJ/mol of formula units: 0.0

a b c (Å): 4.254 4.254 7.336
angles (deg): 73.01 73.01 60.22
Positions (direct):
Pr 0.500 0.500 0.500
Se 0.749 0.749 0.753
Se 0.251 0.251 0.247
Nd 0.000 0.000 0.000

=====

No. 2
Material: NaMgGe2
Method: DFT, PBE
State: optimized geometry

ΔE_f in meV per atom: 24
Space group: R-3m

a b c (Å): 3.206 3.206 9.497
angles (deg): 80.28 80.28 60.00
Positions (direct):
Ge 0.745 0.745 0.765
Ge 0.255 0.255 0.235
Mg 0.000 0.000 0.000
Na 0.500 0.500 0.500

=====

No. 3
Material: Mn2FeSi
Method: DFT, PBE
State: optimized geometry

ΔE_f (raw) in eV/atom: -0.191
Space group: Pmm2

a b c (Å): 3.609 2.552 5.542
angles (deg): 62.56 90.00 90.00
Last column: magnetic moment on the atom in μB.
Positions (direct):
Si 0.000 0.490 0.510  -0.04
Mn 0.500 0.255 0.244  1.97
Mn 0.000 0.992 0.008  -1.68
Fe 0.500 0.762 0.738  1.42

=====

No. 4
Material: Sc6TeO12
Method: DFT, PBE
State: optimized geometry

ΔE_f (raw) in eV/atom: -3.047
Space group: R-3
Distance to the lowest polymorph of the same formula in kJ/mol of formula units: 0.0

a b c (Å): 6.142 6.142 6.142
angles (deg): 98.99 98.99 98.99
Positions (direct):
O 0.909 0.043 0.693
Sc 0.672 0.854 0.391
Sc 0.146 0.609 0.328
O 0.822 0.579 0.411
O 0.589 0.178 0.421
Sc 0.854 0.391 0.672
Sc 0.609 0.328 0.146
Sc 0.328 0.146 0.609
Sc 0.391 0.672 0.854
O 0.091 0.957 0.307
O 0.411 0.822 0.579
O 0.693 0.909 0.043
O 0.957 0.307 0.091
Te 0.000 0.000 0.000
O 0.421 0.589 0.178
O 0.043 0.693 0.909
O 0.307 0.091 0.957
O 0.178 0.421 0.589
O 0.579 0.411 0.822

=====

No. 5
Material: Zr6Zn5Rh
Method: DFT, PBE
State: optimized geometry

ΔE_f in meV per atom: -330
Space group: Immm

a b c (Å): 4.722 8.199 8.199
angles (deg): 120.46 106.74 106.74
Positions (direct):
Zn 0.500 0.830 0.170
Zr 0.252 0.752 0.752
Zr 0.751 0.586 0.917
Zr 0.249 0.083 0.414
Zr 0.751 0.917 0.586
Zr 0.748 0.248 0.248
Zn 0.000 0.667 0.333
Zn 0.500 0.170 0.830
Zn 0.500 0.500 0.500
Rh 0.000 0.000 0.000
Zr 0.249 0.414 0.083
Zn 0.000 0.333 0.667

=====

No. 6
Material: LiAlSe2
Method: DFT, PBE
State: optimized geometry

ΔE_f (raw) in eV/atom: -0.405
Space group: Cmmm

a b c (Å): 4.632 4.632 3.520
angles (deg): 90.00 90.00 99.14
Positions (direct):
Se 0.500 0.500 0.000
Al 0.500 0.000 0.500
Se 0.000 0.000 0.000
Li 0.000 0.500 0.500